12
Lattice="-2.1553 -0.0839 3.3338 -2.0706 -4.9261 -1.4627 11.5735 -5.6554 2.6626" Properties=species:S:1:pos:R:3 comment="KIrF | the Alexandria database | PBE-GGA | optimized geometry" formation_energy_uncorrected_ev_per_atom=-0.887 de_polymorph_mev_per_atom=334 energy_ev_per_atom=-4.83 sg="C2 (5)" rho_kg_m3=6020 pbc="T T T"
K 0.1506 -2.7370 1.2179
K 7.7308 -6.6582 3.6931
K 4.9021 -8.0277 1.8178
K 0.9088 -6.2935 1.6304
Ir -2.9933 -4.6626 1.4937
Ir 8.7710 -9.7374 1.9311
Ir 3.8288 -5.0273 3.5564
Ir 4.0196 -4.4467 1.3312
F 0.2631 -1.3601 3.7068
F 9.0561 -4.6146 2.2197
F 5.0145 -6.6508 4.3068
F 2.2341 -4.2500 0.1571

8
Lattice="6.5393 0.0000 0.0000 0.0000 6.5393 0.0000 3.2696 3.2696 3.4096" Properties=species:S:1:pos:R:3 comment="KIrF2 | the Alexandria database | PBE-GGA | optimized geometry" formation_energy_uncorrected_ev_per_atom=-0.658 de_polymorph_mev_per_atom=622 energy_ev_per_atom=-4.08 sg="I-42d (122)" rho_kg_m3=6134 pbc="T T T"
K 3.2696 3.2696 0.0000
K 3.2696 6.5393 1.7048
Ir 0.0000 0.0000 0.0000
Ir 6.5393 3.2696 1.7048
F 5.2019 1.6348 0.8524
F 1.3374 4.9045 0.8524
F 4.9045 4.6070 2.5572
F 8.1741 8.4716 2.5572

11
Lattice="5.4250 0.1749 2.4342 -1.0770 5.3199 2.4342 -0.4644 -0.5869 6.6896" Properties=species:S:1:pos:R:3 comment="K3IrF7 | the Alexandria database | PBE-GGA | optimized geometry" formation_energy_uncorrected_ev_per_atom=-2.252 energy_ev_per_atom=-4.55 sg="Cm (8)" rho_kg_m3=3509 pbc="T T T"
K 3.6910 1.0659 5.6091
K 1.7775 2.2464 8.8325
K 0.1888 3.8372 5.6091
Ir -0.4113 -0.5198 6.5382
F 0.6019 0.7607 1.6401
F 3.6226 0.2690 2.9498
F 4.6231 1.4459 8.2604
F -0.5711 3.5874 2.9498
F 2.1415 2.7063 6.4779
F 0.3443 4.8317 8.2604
F 3.3724 4.2619 9.6335

8
Lattice="-0.9085 -4.1320 -2.0773 3.7790 -1.8836 2.0941 -3.5283 -5.3572 6.8524" Properties=species:S:1:pos:R:3 comment="KIr2F | the Alexandria database | PBE-GGA | optimized geometry" formation_energy_uncorrected_ev_per_atom=0.608 de_polymorph_mev_per_atom=0 energy_ev_per_atom=-4.57 sg="I4_1/amd (141)" rho_kg_m3=7540 pbc="T T T"
K 0.0000 0.0000 0.0000
K -1.5008 -6.2485 2.3918
Ir -0.7504 -3.1242 1.1959
Ir 1.1391 -4.0661 2.2429
Ir -0.6250 -6.7447 5.6692
Ir -1.0794 -8.8106 4.6304
F 1.4352 -3.0078 0.0084
F 0.8429 -5.1243 4.4774